Below is a geometry-optimized LiMg2Ru structure, with properties calculated at the PBE level.

Lattice parameters (Å, degrees): 9.017 2.756 5.456 90.00 95.25 90.00
Space group C2/m (No. 12)
Asymmetric unit:
Li (0.000, 0.000, 0.000) x2
Mg (0.244, 0.000, 0.736) x4
Ru (0.000, 0.500, 0.500) x2

Values from the calculation:
- Total moment: 0.00 μB/f.u.
- Fermi-level density of states: 0.481 states/eV/atom
- Energy of formation from the pure elements: 0.112 eV per atom

Below is a geometry-optimized MnCr2W structure, with properties calculated at the PBE level.

Lattice parameters (Å, degrees): 2.930 2.930 5.875 90.00 90.00 90.00
Space group P4mm (No. 99)
Asymmetric unit:
Mn (0.000, 0.000, 0.000) x1
Cr (0.000, 0.000, 0.526) x1
Cr (0.500, 0.500, 0.751) x1
W (0.500, 0.500, 0.255) x1

Values from the calculation:
- Energy above the most stable polymorph in this dataset: 0.000 eV/atom
- Total moment: 0.01 μB/f.u.
- Fermi-level density of states: 0.923 states/eV/atom
- Energy of formation from the pure elements: 0.080 eV per atom

Below is a geometry-optimized AlBrCl2 structure, with properties calculated at the PBE level.

Lattice parameters (Å, degrees): 3.294 5.371 12.243 90.00 90.00 90.00
Space group Imm2 (No. 44)
Asymmetric unit:
Al (0.000, 0.000, 0.000) x2
Br (0.000, 0.500, 0.648) x2
Cl (0.000, 0.000, 0.497) x2
Cl (0.000, 0.500, 0.367) x2

Values from the calculation:
- Energy above the most stable polymorph in this dataset: 0.537 eV/atom
- Total moment: 0.00 μB/f.u.
- Uncorrected formation energy: -18.60 kcal/mol of atoms

Below is a geometry-optimized CeYPu structure, with properties calculated at the PBE level.

Lattice parameters (Å, degrees): 4.591 11.597 11.685 90.00 90.00 90.00
Space group Fmmm (No. 69)
Asymmetric unit:
Ce (0.000, 0.182, 0.000) x8
Y (0.000, 0.000, 0.354) x8
Pu (0.250, 0.250, 0.250) x8

Values from the calculation:
- Energy above the most stable polymorph in this dataset: 0.196 eV/atom
- Total moment: 1.24 μB/f.u.
- Fermi-level density of states: 2.489 states/eV/atom
- Energy of formation from the pure elements: 0.318 eV per atom

Below is a geometry-optimized Y2TePt structure, with properties calculated at the PBE level.

Lattice parameters (Å, degrees): 7.735 7.735 7.725 90.00 90.00 90.00
Space group I-42d (No. 122)
Asymmetric unit:
Y (0.217, 0.250, 0.125) x8
Te (0.000, 0.000, 0.500) x4
Pt (0.000, 0.000, 0.000) x4

Values from the calculation:
- Total moment: 0.00 μB/f.u.
- Fermi-level density of states: 0.558 states/eV/atom
- Uncorrected formation energy: -21.16 kcal/mol of atoms

Below is a geometry-optimized NdDySiIr structure, with properties calculated at the PBE level.

Lattice parameters (Å, degrees): 3.964 4.255 10.958 90.00 90.00 90.00
Space group Amm2 (No. 38)
Asymmetric unit:
Nd (0.000, 0.000, 0.000) x2
Dy (0.500, 0.000, 0.282) x2
Si (0.500, 0.000, 0.586) x2
Ir (0.000, 0.000, 0.723) x2

Values from the calculation:
- Total moment: 0.00 μB/f.u.
- Fermi-level density of states: 0.650 states/eV/atom
- Uncorrected formation energy: -18.50 kcal/mol of atoms

Below is a geometry-optimized Zr2GaBiPt structure, with properties calculated at the PBE level.

Lattice parameters (Å, degrees): 5.589 5.589 5.072 90.00 90.00 90.00
Space group P4/mmm (No. 123)
Asymmetric unit:
Zr (0.000, 0.500, 0.000) x2
Ga (0.000, 0.000, 0.500) x1
Bi (0.500, 0.500, 0.000) x1
Pt (0.500, 0.500, 0.500) x1

Values from the calculation:
- Total moment: 0.76 μB/f.u.
- Fermi-level density of states: 1.669 states/eV/atom
- Energy of formation from the pure elements: 0.984 eV per atom